Record 1
# Ga5Pd5Pt2

A relaxed structure of Ga5Pd5Pt2 (PBE, Alexandria).

It has space group C2/m (No. 12), with a = 12.233 Å, b = 4.143 Å, c = 8.061 Å, α = 90.00°, β = 108.14° and γ = 90.00°. Symmetry generates all atoms from Ga at (0.000, 0.000, 0.000), Ga at (0.093, 0.000, 0.410), Ga at (0.243, 0.500, 0.792), Pd at (0.000, 0.500, 0.500), Pd at (0.131, 0.500, 0.018), Pd at (0.203, 0.500, 0.378) and Pt at (0.113, 0.000, 0.766).

The value obtained for the energy relative to the elements is -0.51 eV per atom.

---

Record 2
# Ga8Pd2Pt

A relaxed structure of Ga8Pd2Pt (PBE, Alexandria).

It has space group C2/m (No. 12), with a = 17.439 Å, b = 4.129 Å, c = 5.416 Å, α = 90.00°, β = 105.90° and γ = 90.00°. Symmetry generates all atoms from Ga at (0.028, 0.000, 0.306), Ga at (0.112, 0.500, 0.784), Ga at (0.145, 0.500, 0.318), Ga at (0.215, 0.000, 0.142), Pd at (0.185, 0.000, 0.639) and Pt at (0.000, 0.500, 0.000).

Its energy above the most stable polymorph in this dataset is 0 meV per atom. The value obtained for the energy relative to the elements is -0.38 eV per atom.

---

Record 3
# Ga2Pd3Pt3

A relaxed structure of Ga2Pd3Pt3 (PBE, Alexandria).

It has space group Cmcm (No. 63), with a = 4.135 Å, b = 9.106 Å, c = 13.426 Å, α = 90.00°, β = 90.00° and γ = 90.00°. Symmetry generates all atoms from Ga at (0.000, 0.233, 0.130), Pd at (0.000, 0.055, 0.601), Pd at (0.000, 0.266, 0.750), Pt at (0.000, 0.361, 0.541) and Pt at (0.000, 0.444, 0.250).

Its energy above the most stable polymorph in this dataset is 69 meV per atom. The value obtained for the energy relative to the elements is -0.38 eV per atom.